[1]
ErReTc: optimized geometry, PBE-GGA.

a b c (Å): 3.124 3.124 6.068
angles (deg): 104.92 104.92 90.00
Fractional positions:
Tc 0.690 0.690 0.381
Er 0.000 0.000 0.999
Re 0.310 0.310 0.620

Properties
Formation energy from the elements (eV/atom): 0.032
DOS(E_F) (states/eV per cell): 3.33
Relative energy among the computed polymorphs (meV per atom): 276


[2]
Er3ReTc8: optimized geometry, PBE-GGA.

a b c (Å): 5.295 5.295 9.153
angles (deg): 73.19 73.19 60.00
Fractional positions:
Er 0.626 0.626 0.122
Er 0.002 0.002 0.995
Er 0.499 0.499 0.504
Tc 0.555 0.062 0.321
Tc 0.813 0.813 0.560
Tc 0.312 0.312 0.064
Tc 0.062 0.555 0.321
Tc 0.071 0.564 0.802
Tc 0.564 0.071 0.802
Tc 0.564 0.564 0.802
Tc 0.062 0.062 0.321
Re 0.122 0.122 0.635

Properties
Formation energy from the elements (eV/atom): -0.009
DOS(E_F) (states/eV per cell): 17.70


[3]
Er2ReTc3: optimized geometry, PBE-GGA.

a b c (Å): 5.450 5.450 5.323
angles (deg): 90.01 120.76 120.02
Fractional positions:
Tc 0.000 0.000 0.500
Tc 0.500 0.000 0.500
Tc 0.500 0.500 0.500
Re 0.000 0.000 0.000
Er 0.748 0.374 0.122
Er 0.252 0.626 0.878

Properties
Formation energy from the elements (eV/atom): -0.203
DOS(E_F) (states/eV per cell): 5.90